Record 1
The following is a DFT calculation (PBE) of a geometry-optimized KAlTc2 structure.

Properties
E_form = 1.146 eV/atom

a = 2.7461 Å, b = 5.1115 Å, c = 5.0696 Å
α = 90.00°, β = 90.00°, γ = 90.00°
Last column: nearest neighbours and their distance in Å.
Sites, in units of the cell vectors:
K 0.0000 0.5000 0.5000  2 K 2.75, 4 Tc 2.88, 4 Al 2.90
Tc 0.0000 0.0000 0.0000  6 Tc 2.75-2.90, 4 Al 2.88
Tc 0.5000 0.5000 0.0000  6 Tc 2.75-2.90, 4 K 2.88
Al 0.5000 0.0000 0.5000  2 Al 2.75, 4 Tc 2.88, 4 K 2.90


Record 2
The following is a DFT calculation (PBE) of a geometry-optimized CuSnIr2 structure.

Properties
E_form = 0.346 eV/atom

a = 3.9671 Å, b = 3.9671 Å, c = 9.3428 Å
α = 77.74°, β = 77.74°, γ = 90.00°
Last column: nearest neighbours and their distance in Å.
Sites, in units of the cell vectors:
Ir 0.5695 0.1250 0.2500  2 Ir 2.51, 2 Cu 2.56, 2 Sn 2.72
Ir 0.1805 0.6250 0.2500  2 Ir 2.51, 2 Cu 2.56, 2 Sn 2.72
Ir 0.3750 0.4305 0.7500  2 Ir 2.51, 2 Cu 2.56, 2 Sn 2.72
Ir 0.8750 0.8195 0.7500  2 Ir 2.51, 2 Cu 2.56, 2 Sn 2.72
Sn 0.0000 0.0000 0.0000  4 Ir 2.72, 4 Cu 2.81
Sn 0.7500 0.2500 0.5000  4 Ir 2.72, 4 Cu 2.81
Cu 0.5000 0.5000 0.0000  4 Ir 2.56, 4 Sn 2.81
Cu 0.2500 0.7500 0.5000  4 Ir 2.56, 4 Sn 2.81


Record 3
The following is a DFT calculation (PBE) of a geometry-optimized Ce2PuPt structure.

Properties
Relative energy among the computed polymorphs = 142 meV per atom
E_form = -0.436 eV/atom

a = 6.1622 Å, b = 5.6307 Å, c = 8.5785 Å
α = 49.63°, β = 68.95°, γ = 56.82°
Last column: nearest neighbours and their distance in Å.
Sites, in units of the cell vectors:
Ce 0.3165 0.0056 0.4257  1 Pu 2.84, 1 Pt 2.91, 1 Ce 2.92
Ce 0.6835 0.9944 0.5743  1 Pu 2.84, 1 Pt 2.91, 1 Ce 2.92
Ce 0.2522 0.5056 0.9257  1 Pu 2.84, 1 Pt 2.91, 1 Ce 2.92
Ce 0.7478 0.4944 0.0743  1 Pu 2.84, 1 Pt 2.91, 1 Ce 2.92
Pu 0.7990 0.7500 0.2500  1 Pt 2.77, 2 Ce 2.84
Pu 0.2010 0.2500 0.7500  1 Pt 2.77, 2 Ce 2.84
Pt 0.7515 0.2500 0.7500  1 Pu 2.77, 2 Ce 2.91
Pt 0.2485 0.7500 0.2500  1 Pu 2.77, 2 Ce 2.91


Record 4
The following is a DFT calculation (PBE) of a geometry-optimized CePmCd2In2 structure.

Properties
E_form = -0.372 eV/atom

a = 4.9953 Å, b = 4.9953 Å, c = 7.3371 Å
α = 90.00°, β = 90.00°, γ = 120.00°
Last column: nearest neighbours and their distance in Å.
Sites, in units of the cell vectors:
Ce 0.0000 0.0000 0.0000  6 In 3.37, 6 Cd 3.41, 2 Pm 3.67
Pm 0.0000 0.0000 0.5000  6 Cd 3.43, 6 In 3.46, 2 Ce 3.67
Cd 0.3333 0.6667 0.2475  3 In 2.88
Cd 0.6667 0.3333 0.7525  3 In 2.88
In 0.3333 0.6667 0.7611  3 Cd 2.88
In 0.6667 0.3333 0.2389  3 Cd 2.88